No. 1
## LaSm5Tm4 (PBE)

Data for a geometry-optimized LaSm5Tm4 structure.

Cell and atoms, written as extended XYZ:
```
10
Lattice="-4.063 -0.168 -4.848 2.359 -4.652 -5.945 -5.438 -5.708 0.626" Properties=species:S:1:pos:R:3 pbc="T T T"
La -0.901 -0.037 -1.075
Sm -7.307 -7.104 -5.593
Sm -1.966 -7.791 -5.916
Sm -4.758 -2.720 -3.752
Sm 0.583 -3.407 -4.075
Sm -2.770 -0.115 -3.305
Tm -4.489 -5.941 -3.903
Tm -4.862 -6.802 -7.690
Tm -1.899 -3.711 -2.022
Tm -2.272 -4.572 -5.809
```

Results
- Size of the total moment: 0.00 μB per formula unit
- DFT formation energy: 0.29 eV/atom
- Total DFT energy (no corrections): -43.5 eV per cell
- Fermi-level density of states: 1.434 states/eV/atom



No. 2
## La2Sm3Tm7 (PBE)

Data for a geometry-optimized La2Sm3Tm7 structure.

Cell and atoms, written as extended XYZ:
```
12
Lattice="3.520 0.000 0.000 0.000 6.302 0.735 0.000 2.368 17.785" Properties=species:S:1:pos:R:3 pbc="T T T"
La 1.760 4.683 6.245
La 1.760 3.987 12.275
Sm 1.760 3.151 0.367
Sm 0.000 1.533 6.166
Sm 0.000 7.137 12.353
Tm 1.760 2.727 9.064
Tm 1.760 5.943 9.455
Tm 0.000 3.931 3.283
Tm 0.000 0.000 0.000
Tm 0.000 4.739 15.236
Tm 1.760 7.884 15.565
Tm 1.760 0.786 2.954
```

Results
- Size of the total moment: 0.00 μB per formula unit
- E above lowest polymorph: 0.000 eV/atom
- DFT formation energy: 0.10 eV/atom
- Total DFT energy (no corrections): -54.1 eV per cell
- Fermi-level density of states: 1.538 states/eV/atom



No. 3
## La6Sm5Tm (PBE)

Data for a geometry-optimized La6Sm5Tm structure.

Cell and atoms, written as extended XYZ:
```
12
Lattice="11.379 -1.222 0.000 2.885 4.370 0.000 1.443 2.185 7.894" Properties=species:S:1:pos:R:3 pbc="T T T"
La 9.265 0.169 2.621
La 4.999 2.978 2.621
La 3.547 0.798 0.000
La 10.717 2.350 0.000
La 10.707 2.354 5.273
La 6.442 5.163 5.273
Sm 7.132 1.574 5.258
Sm 1.443 2.185 2.616
Sm 7.132 1.574 0.000
Sm 2.885 4.370 5.277
Sm 8.575 3.759 2.636
Tm 0.000 0.000 0.000
```

Results
- Size of the total moment: 0.00 μB per formula unit
- E above lowest polymorph: 0.000 eV/atom
- DFT formation energy: 0.02 eV/atom
- Total DFT energy (no corrections): -57.4 eV per cell
- Fermi-level density of states: 1.532 states/eV/atom



No. 4
## La2Sm8Tm3 (PBE)

Data for a geometry-optimized La2Sm8Tm3 structure.

Cell and atoms, written as extended XYZ:
```
13
Lattice="5.552 0.000 0.689 0.000 7.690 0.000 -1.301 -3.845 10.454" Properties=species:S:1:pos:R:3 pbc="T T T"
La 2.145 0.000 5.368
La 2.106 3.845 5.774
Sm -0.419 3.845 3.396
Sm 4.670 0.000 7.747
Sm 5.223 0.000 3.318
Sm -0.972 3.845 7.825
Sm 1.741 1.591 8.655
Sm 1.741 -1.591 8.655
Sm 2.510 5.436 2.488
Sm 2.510 2.254 2.488
Tm 2.776 0.000 0.344
Tm 0.000 2.200 0.000
Tm 0.000 5.491 0.000
```

Results
- Size of the total moment: 0.00 μB per formula unit
- DFT formation energy: 0.21 eV/atom
- Total DFT energy (no corrections): -58.3 eV per cell
- Fermi-level density of states: 1.654 states/eV/atom



No. 5
## La3SmTm6 (PBE)

Data for a geometry-optimized La3SmTm6 structure.

Cell and atoms, written as extended XYZ:
```
20
Lattice="9.417 0.000 0.000 0.000 8.526 0.540 0.000 -1.376 8.431" Properties=species:S:1:pos:R:3 pbc="T T T"
La 4.255 6.831 6.360
La 8.963 4.675 8.078
La 3.301 3.353 4.663
La 8.009 3.797 4.309
La 8.963 0.318 2.612
La 4.255 2.475 0.893
Sm 0.308 1.026 6.517
Sm 5.016 6.123 2.455
Tm 1.249 6.060 5.738
Tm 5.957 4.241 7.187
Tm 2.787 3.871 8.084
Tm 7.495 7.017 5.578
Tm 2.008 8.421 0.623
Tm 5.915 1.209 6.371
Tm 1.207 5.940 2.601
Tm 6.716 -1.271 8.348
Tm 2.787 0.133 3.394
Tm 7.495 3.279 0.887
Tm 1.249 2.909 1.784
Tm 5.957 1.090 3.234
```

Results
- Size of the total moment: 0.00 μB per formula unit
- E above lowest polymorph: 0.000 eV/atom
- DFT formation energy: 0.23 eV/atom
- Total DFT energy (no corrections): -88.0 eV per cell
- Fermi-level density of states: 1.435 states/eV/atom



No. 6
## La8Sm3Tm2 (PBE)

Data for a geometry-optimized La8Sm3Tm2 structure.

Cell and atoms, written as extended XYZ:
```
13
Lattice="6.089 0.272 1.294 1.904 8.632 1.546 0.753 -0.680 8.917" Properties=species:S:1:pos:R:3 pbc="T T T"
La 2.725 4.453 6.052
La 6.021 3.771 5.705
La 6.101 1.405 2.728
La 2.645 6.819 9.029
La 5.209 5.064 2.496
La 4.647 0.517 6.095
La 4.099 7.707 5.663
La 3.537 3.160 9.261
Sm 3.045 0.136 0.647
Sm 1.041 1.654 7.069
Sm 1.615 6.298 3.394
Tm 2.861 2.398 3.476
Tm 5.885 5.826 8.281
```

Results
- Size of the total moment: 0.00 μB per formula unit
- E above lowest polymorph: 0.000 eV/atom
- DFT formation energy: 0.15 eV/atom
- Total DFT energy (no corrections): -60.6 eV per cell
- Fermi-level density of states: 1.702 states/eV/atom